Material: BaMgGa4Pt2
Method: DFT, GGA-PBE
State: optimized geometry

Properties
VASP energy = -0.2942 Ry/atom

Unit cell a=7.3504 b=5.5193 c=5.5193 alpha=46.55 beta=90.00 gamma=90.00
With the nearest neighbours (Å) after each atom.
Element x y z (fractional)
Ba (0.0000, 0.0000, 0.0000)  3 Pt 2.88-3.09
Mg (0.5000, 0.8556, 0.8556)  3 Pt 2.84-3.12, 6 Ga 3.08-3.11
Ga (0.2174, 0.2899, 0.2899)  3 Pt 2.60-2.81
Ga (0.3166, 0.5790, 0.5790)  3 Pt 2.63-2.71, 1 Ga 2.70
Ga (0.6834, 0.5790, 0.5790)  3 Pt 2.63-2.71, 1 Ga 2.70
Ga (0.7826, 0.2899, 0.2899)  3 Pt 2.60-2.81
Pt (0.0000, 0.7158, 0.7158)  6 Ga 2.71-2.81, 1 Ba 2.88
Pt (0.5000, 0.1358, 0.1358)  6 Ga 2.60-2.63, 1 Mg 2.84



Material: HfCdAsO
Method: DFT, GGA-PBE
State: optimized geometry

Properties
VASP energy = -0.4646 Ry/atom

Unit cell a=3.7490 b=3.7490 c=9.8383 alpha=90.00 beta=90.00 gamma=90.00
With the nearest neighbours (Å) after each atom.
Element x y z (fractional)
Hf (0.2500, 0.2500, 0.1165)  4 O 2.20
Hf (0.7500, 0.7500, 0.8835)  4 O 2.20
Cd (0.2500, 0.7500, 0.5000)  4 Cd 2.65
Cd (0.7500, 0.2500, 0.5000)  4 Cd 2.65
As (0.2500, 0.2500, 0.7471)  4 Hf 2.97, 4 Cd 3.07, 4 O 3.12
As (0.7500, 0.7500, 0.2529)  4 Hf 2.97, 4 Cd 3.07, 4 O 3.12
O (0.2500, 0.7500, 0.0000)  4 Hf 2.20
O (0.7500, 0.2500, 0.0000)  4 Hf 2.20



Material: BaAl2Ag2
Method: DFT, GGA-PBE
State: optimized geometry

Properties
VASP energy = -0.2371 Ry/atom

Unit cell a=6.7304 b=6.7304 c=6.7304 alpha=140.94 beta=140.94 gamma=56.43
With the nearest neighbours (Å) after each atom.
Element x y z (fractional)
Ba (0.0000, 0.0000, 0.0000)  8 Ag 3.53, 8 Al 3.72
Al (0.2500, 0.7500, 0.5000)  4 Ag 2.67
Al (0.7500, 0.2500, 0.5000)  4 Ag 2.67
Ag (0.3714, 0.3714, 0.0000)  4 Al 2.67
Ag (0.6286, 0.6286, 0.0000)  4 Al 2.67



Material: TbGdCu2Ge2
Method: DFT, GGA-PBE
State: optimized geometry

Properties
VASP energy = -0.3687 Ry/atom

Unit cell a=4.2603 b=4.2603 c=7.4066 alpha=90.00 beta=90.00 gamma=120.00
With the nearest neighbours (Å) after each atom.
Element x y z (fractional)
Tb (0.0000, 0.0000, 0.0000)  6 Cu 2.99-3.16, 6 Ge 3.00-3.15
Gd (0.0000, 0.0000, 0.4997)  6 Cu 3.00-3.17, 6 Ge 3.01-3.16
Cu (0.3333, 0.6667, 0.2300)  3 Ge 2.47
Cu (0.6667, 0.3333, 0.7325)  3 Ge 2.47
Ge (0.3333, 0.6667, 0.7684)  3 Cu 2.47
Ge (0.6667, 0.3333, 0.2662)  3 Cu 2.47